(1)
This record from Alexandria via LeMat-Bulk describes an optimized crystal structure of MgGaFe2O4. The functional is GGA+U.

Lattice parameters (Å, degrees): 6.236 6.236 6.193 119.22 119.22 91.24
Atoms (fractional coordinates):
Mg  0.000  0.500  0.000
Mg  0.500  0.000  0.500
Ga  0.000  0.000  0.000
Ga  0.000  0.000  0.500
Fe  0.000  0.500  0.500
Fe  0.500  0.000  0.000
Fe  0.500  0.500  0.000
Fe  0.500  0.500  0.500
O  0.234  0.741  0.484
O  0.250  0.267  0.023
O  0.259  0.766  0.016
O  0.267  0.250  0.523
O  0.733  0.750  0.477
O  0.741  0.234  0.984
O  0.750  0.733  0.977
O  0.766  0.259  0.516

(2)
This record from Alexandria via LeMat-Bulk describes an optimized crystal structure of MgGaFeO2. The functional is GGA+U.

Lattice parameters (Å, degrees): 4.015 4.015 4.998 90.00 90.00 90.00
Atoms (fractional coordinates):
Mg  0.000  0.000  0.000
Ga  0.500  0.500  0.500
Fe  0.500  0.500  0.000
O  0.000  0.500  0.500
O  0.500  0.000  0.500

Respective total energy values: -6.008, -4.207 eV per atom.